Entry from Alexandria: crystalline LiMnBi2O5 at its relaxed geometry (PBE with a Hubbard U).

The space group is Cmc2_1 (No. 36) and the conventional cell measures 3.346, 15.647 and 9.610 Å, with angles of 90.00, 90.00 and 90.00 degrees. The distinct sites, in fractional coordinates, are Li at (0.000, 0.064, 0.000), Mn at (0.000, 0.292, 0.553), Bi at (0.000, 0.353, 0.231), Bi at (0.000, 0.398, 0.822), O at (0.000, 0.009, 0.334), O at (0.000, 0.167, 0.560), O at (0.000, 0.184, 0.900), O at (0.000, 0.216, 0.191) and O at (0.000, 0.412, 0.594).

The final energy is -6.04 eV per atom. The value obtained for the density of states at the Fermi level is 2.410 states/eV per cell. Its density is 7.39 g cm⁻³. Its crystal system is orthorhombic.